# 1
# InCo, relaxed, DFT GGA-PBE
# Raw total energy in eV per atom: -4.72
data_InCo
_cell_length_a 2.880
_cell_length_b 11.033
_cell_length_c 6.530
_cell_angle_alpha 90.00
_cell_angle_beta 90.00
_cell_angle_gamma 90.00
_space_group_name_H-M_alt 'I m m 2'
_space_group_IT_number 44
loop_
_space_group_symop_operation_xyz
'x,y,z'
'-x,-y,z'
'-x,y,z'
'x,-y,z'
'x+1/2,y+1/2,z+1/2'
'-x+1/2,-y+1/2,z+1/2'
'-x+1/2,y+1/2,z+1/2'
'x+1/2,-y+1/2,z+1/2'
loop_
_atom_site_label
_atom_site_type_symbol
_atom_site_fract_x
_atom_site_fract_y
_atom_site_fract_z
In1 In 0.000 0.000 0.000
In2 In 0.000 0.295 0.818
Co1 Co 0.000 0.000 0.433
Co2 Co 0.000 0.395 0.186



# 2
# InCo4, relaxed, DFT GGA-PBE
# Raw total energy in eV per atom: -4.85
data_InCo4
_cell_length_a 5.614
_cell_length_b 5.614
_cell_length_c 5.614
_cell_angle_alpha 90.00
_cell_angle_beta 90.00
_cell_angle_gamma 90.00
_space_group_name_H-M_alt 'I m -3 m'
_space_group_IT_number 229
_space_group_name_Hall '-I 4 2 3'
loop_
_atom_site_label
_atom_site_type_symbol
_atom_site_fract_x
_atom_site_fract_y
_atom_site_fract_z
In1 In 0.000 0.000 0.000
Co1 Co 0.250 0.250 0.250



# 3
# InCo2, relaxed, DFT GGA-PBE
# Raw total energy in eV per atom: -5.06
data_InCo2
_cell_length_a 5.580
_cell_length_b 5.580
_cell_length_c 5.997
_cell_angle_alpha 90.00
_cell_angle_beta 90.00
_cell_angle_gamma 90.00
_space_group_name_H-M_alt 'I 4/m c m'
_space_group_IT_number 140
_space_group_name_Hall '-I 4 2c'
loop_
_atom_site_label
_atom_site_type_symbol
_atom_site_fract_x
_atom_site_fract_y
_atom_site_fract_z
In1 In 0.000 0.000 0.250
Co1 Co 0.139 0.361 0.000



# 4
# InCo3, relaxed, DFT GGA-PBE
# Raw total energy in eV per atom: -5.57
data_InCo3
_cell_length_a 7.024
_cell_length_b 7.685
_cell_length_c 4.327
_cell_angle_alpha 90.00
_cell_angle_beta 90.00
_cell_angle_gamma 90.00
_space_group_name_H-M_alt 'C m c m'
_space_group_IT_number 63
_space_group_name_Hall '-C 2c 2'
loop_
_atom_site_label
_atom_site_type_symbol
_atom_site_fract_x
_atom_site_fract_y
_atom_site_fract_z
In1 In 0.000 0.106 0.250
Co1 Co 0.000 0.441 0.250
Co2 Co 0.163 0.260 0.750



# 5
# InCo, relaxed, DFT GGA-PBE
# Raw total energy in eV per atom: -4.70
data_InCo
_cell_length_a 3.102
_cell_length_b 4.371
_cell_length_c 9.480
_cell_angle_alpha 90.00
_cell_angle_beta 90.00
_cell_angle_gamma 90.00
_space_group_name_H-M_alt 'I m m a'
_space_group_IT_number 74
_space_group_name_Hall '-I 2b 2'
loop_
_atom_site_label
_atom_site_type_symbol
_atom_site_fract_x
_atom_site_fract_y
_atom_site_fract_z
In1 In 0.000 0.250 0.109
Co1 Co 0.000 0.250 0.647



# 6
# InCo4, relaxed, DFT GGA-PBE
# Raw total energy in eV per atom: -4.32
data_InCo4
_cell_length_a 4.613
_cell_length_b 4.613
_cell_length_c 4.613
_cell_angle_alpha 90.00
_cell_angle_beta 90.00
_cell_angle_gamma 90.00
_space_group_name_H-M_alt 'P m -3 m'
_space_group_IT_number 221
_space_group_name_Hall '-P 4 2 3'
loop_
_atom_site_label
_atom_site_type_symbol
_atom_site_fract_x
_atom_site_fract_y
_atom_site_fract_z
In1 In 0.000 0.000 0.000
Co1 Co 0.000 0.000 0.500
Co2 Co 0.500 0.500 0.500



# 7
# InCo2Ir, relaxed, DFT GGA-PBE
# Raw total energy in eV per atom: -6.31
data_InCo2Ir
_cell_length_a 2.977
_cell_length_b 2.977
_cell_length_c 6.425
_cell_angle_alpha 90.00
_cell_angle_beta 90.00
_cell_angle_gamma 90.00
_space_group_name_H-M_alt 'P 4 m m'
_space_group_IT_number 99
loop_
_space_group_symop_operation_xyz
'x,y,z'
'-y,x,z'
'-x,-y,z'
'y,-x,z'
'-x,y,z'
'y,x,z'
'x,-y,z'
'-y,-x,z'
loop_
_atom_site_label
_atom_site_type_symbol
_atom_site_fract_x
_atom_site_fract_y
_atom_site_fract_z
In1 In 0.000 0.000 0.000
Co1 Co 0.000 0.000 0.533
Co2 Co 0.500 0.500 0.723
Ir1 Ir 0.500 0.500 0.297



# 8
# In2CoIr, relaxed, DFT GGA-PBE
# Raw total energy in eV per atom: -5.32
data_In2CoIr
_cell_length_a 3.160
_cell_length_b 3.160
_cell_length_c 6.515
_cell_angle_alpha 90.00
_cell_angle_beta 90.00
_cell_angle_gamma 90.00
_space_group_name_H-M_alt 'P 4/m m m'
_space_group_IT_number 123
_space_group_name_Hall '-P 4 2'
loop_
_atom_site_label
_atom_site_type_symbol
_atom_site_fract_x
_atom_site_fract_y
_atom_site_fract_z
In1 In 0.000 0.000 0.237
Co1 Co 0.500 0.500 0.000
Ir1 Ir 0.500 0.500 0.500



no.,formation energy (eV/f.u.)
1,0.4
2,6.9
3,1.8
4,1.8
5,0.4
6,9.6
7,0.6
8,0.2